Record 1
This record from Alexandria via LeMat-Bulk describes an optimized crystal structure of Li2TbCeAu4. The functional is PBE.

a b c (Å): 5.0109 5.0109 23.3732
angles (deg): 90.00 90.00 120.00
With the nearest neighbours (Å) after each atom.
Space group R-3m (No. 166, hexagonal axes)
Inequivalent atoms, fractional coordinates:
1 Li 0.0000 0.0000 0.2504 x6  5 Au 2.76-3.08
2 Tb 0.0000 0.0000 0.0000 x3  8 Au 3.01
3 Ce 0.0000 0.0000 0.5000 x3  8 Au 3.03-3.07
4 Au 0.0000 0.0000 0.1286 x6  4 Li 2.85-3.08, 1 Tb 3.01, 3 Ce 3.03
5 Au 0.0000 0.0000 0.3685 x6  1 Li 2.76, 3 Tb 3.01, 1 Ce 3.07

**Total magnetic moment**: 0.80 μB per formula unit
**Calculated total energy**: -4.08 eV/atom
**Calculated formation energy**: -0.642 eV per atom


Record 2
This record from Alexandria via LeMat-Bulk describes an optimized crystal structure of LiTb2CeAu4. The functional is PBE.

a b c (Å): 5.0254 5.0254 25.0518
angles (deg): 90.00 90.00 120.00
With the nearest neighbours (Å) after each atom.
Space group R-3m (No. 166, hexagonal axes)
Inequivalent atoms, fractional coordinates:
1 Li 0.0000 0.0000 0.0000 x3  8 Au 2.86-3.12
2 Tb 0.0000 0.0000 0.2600 x6  7 Au 2.98-3.08
3 Ce 0.0000 0.0000 0.5000 x3  8 Au 3.03-3.18
4 Au 0.0000 0.0000 0.1143 x6  1 Li 2.86, 3 Tb 3.08, 3 Ce 3.18
5 Au 0.0000 0.0000 0.3789 x6  4 Tb 2.98, 1 Ce 3.03, 3 Li 3.12

**Total magnetic moment**: 0.88 μB per formula unit
**Calculated total energy**: -4.47 eV/atom
**Calculated formation energy**: -0.697 eV per atom


Record 3
This record from Alexandria via LeMat-Bulk describes an optimized crystal structure of LiTbCeAu. The functional is PBE.

a b c (Å): 7.3209 7.3209 7.3209
angles (deg): 90.00 90.00 90.00
With the nearest neighbours (Å) after each atom.
Space group F-43m (No. 216)
Inequivalent atoms, fractional coordinates:
1 Li 0.0000 0.0000 0.0000 x4  4 Tb 3.17, 4 Ce 3.17
2 Tb 0.2500 0.2500 0.2500 x4  4 Li 3.17, 4 Au 3.17
3 Ce 0.2500 0.2500 0.7500 x4  4 Li 3.17, 4 Au 3.17
4 Au 0.0000 0.0000 0.5000 x4  4 Tb 3.17, 4 Ce 3.17

**Total magnetic moment**: 0.94 μB per formula unit
**Calculated total energy**: -4.20 eV/atom
**Calculated formation energy**: -0.257 eV per atom


Record 4
This record from Alexandria via LeMat-Bulk describes an optimized crystal structure of Li2CeTlAu2. The functional is PBE.

a b c (Å): 4.6303 4.6303 6.7766
angles (deg): 90.00 90.00 120.00
With the nearest neighbours (Å) after each atom.
Space group P-3m1 (No. 164)
Inequivalent atoms, fractional coordinates:
1 Li 0.3333 0.6667 0.1593 x2  4 Au 2.75-2.81, 3 Tl 2.88
2 Ce 0.0000 0.0000 0.5000 x1  6 Au 3.15, 2 Tl 3.39
3 Tl 0.0000 0.0000 0.0000 x1  6 Li 2.88, 6 Au 3.18
4 Au 0.3333 0.6667 0.7450 x2  4 Li 2.75-2.81

**Total magnetic moment**: 1.11 μB per formula unit
**Calculated total energy**: -3.57 eV/atom
**Calculated formation energy**: -0.459 eV per atom